# 1
VASP calculation (PBE) on an optimized crystal structure of Tl2FeOs.

a b c (Å): 3.125 5.260 9.165
angles (deg): 90.00 90.00 90.00
Space group Cmmm (No. 65)
Inequivalent atoms, fractional coordinates:
Tl1 0.000 0.000 0.246
Fe1 0.000 0.500 0.000
Os1 0.000 0.500 0.500

Values from the calculation:
Magnetization, μB per formula unit: 2.63
DOS(E_F), states/eV/atom: 0.83
Total DFT energy (no corrections), eV/cell: -41.0

=====

# 2
VASP calculation (PBE) on an optimized crystal structure of Hf2AgRu.

a b c (Å): 7.390 7.390 5.801
angles (deg): 90.00 90.00 90.00
Space group I-42d (No. 122)
Inequivalent atoms, fractional coordinates:
Hf1 0.221 0.250 0.125
Ag1 0.000 0.000 0.500
Ru1 0.000 0.000 0.000

Values from the calculation:
Magnetization, μB per formula unit: 0.00
DOS(E_F), states/eV/atom: 1.10
Total DFT energy (no corrections), eV/cell: -125.8